The following is a DFT calculation (GGA-PBEsol) of an optimized crystal structure of Li2As2Pb.

* E above lowest polymorph: 27 meV/atom
* ΔH_f (0 K): -0.33 eV/atom
* symmetry: P4/mbm

POSCAR file:
```
Li2As2Pb
1.0
2.912 0.000 0.000
0.000 8.129 0.000
0.000 0.000 8.129
Pb As Li
2 4 4
Direct
0.000 0.000 0.000 Pb
0.000 0.500 0.500 Pb
0.000 0.329 0.829 As
0.000 0.829 0.671 As
0.000 0.671 0.171 As
0.000 0.171 0.329 As
0.500 0.123 0.623 Li
0.500 0.623 0.877 Li
0.500 0.877 0.377 Li
0.500 0.377 0.123 Li
```

=====

The following is a DFT calculation (GGA-PBEsol) of an optimized crystal structure of LiAs2Pb.

* ΔH_f (0 K): -0.08 eV/atom
* symmetry: R3m

POSCAR file:
```
LiAs2Pb
1.0
3.603 0.000 0.000
1.802 3.121 0.000
1.802 1.040 7.861
As Li Pb
2 1 1
Direct
0.016 0.016 0.951 As
0.744 0.744 0.767 As
0.488 0.488 0.536 Li
0.251 0.251 0.246 Pb
```

=====

The following is a DFT calculation (GGA-PBEsol) of an optimized crystal structure of Li2As2Pb.

* E above lowest polymorph: 0 meV/atom
* ΔH_f (0 K): -0.35 eV/atom
* symmetry: I4/mmm

POSCAR file:
```
Li2As2Pb
1.0
-3.156 -2.920 0.300
2.754 -3.097 -1.182
1.443 2.185 5.492
Pb As Li
1 2 2
Direct
0.000 0.000 0.000 Pb
0.384 0.384 0.768 As
0.616 0.616 0.232 As
0.250 0.750 0.500 Li
0.750 0.250 0.500 Li
```

=====

The following is a DFT calculation (GGA-PBEsol) of an optimized crystal structure of LiAs2Pb.

* ΔH_f (0 K): 0.01 eV/atom
* symmetry: I-4m2

POSCAR file:
```
LiAs2Pb
1.0
-2.330 -3.373 1.461
-1.190 -0.945 -4.078
5.310 -0.478 0.884
As Li Pb
2 1 1
Direct
0.000 0.000 0.000 As
0.750 0.250 0.500 As
0.500 0.500 0.000 Li
0.250 0.750 0.500 Pb
```

=====

The following is a DFT calculation (GGA-PBEsol) of an optimized crystal structure of LiAs2Pb.

* ΔH_f (0 K): -0.17 eV/atom
* symmetry: P4/mmm

POSCAR file:
```
LiAs2Pb
1.0
3.773 0.000 0.000
0.000 3.773 0.000
0.000 0.000 5.959
Pb As Li
1 2 1
Direct
0.500 0.500 0.500 Pb
0.000 0.000 0.800 As
0.000 0.000 0.200 As
0.500 0.500 0.000 Li
```

=====

The following is a DFT calculation (GGA-PBEsol) of an optimized crystal structure of Li2As2Pd.

* ΔH_f (0 K): -0.58 eV/atom
* symmetry: P4/mbm

POSCAR file:
```
Li2As2Pd
1.0
4.131 0.000 0.000
0.000 6.327 0.000
0.000 0.000 6.327
As Pd Li
4 2 4
Direct
0.000 0.362 0.862 As
0.000 0.862 0.638 As
0.000 0.638 0.138 As
0.000 0.138 0.362 As
0.000 0.000 0.000 Pd
0.000 0.500 0.500 Pd
0.500 0.168 0.668 Li
0.500 0.668 0.832 Li
0.500 0.832 0.332 Li
0.500 0.332 0.168 Li
```

=====

The following is a DFT calculation (GGA-PBEsol) of an optimized crystal structure of Li2AsPt.

* ΔH_f (0 K): -0.58 eV/atom
* symmetry: I4/mmm

POSCAR file:
```
Li2AsPt
1.0
3.722 0.000 0.000
0.000 3.722 0.000
-1.861 -1.861 3.984
As Pt Li
1 1 2
Direct
0.500 0.500 0.000 As
0.000 0.000 0.000 Pt
0.750 0.250 0.500 Li
0.250 0.750 0.500 Li
```

=====

The following is a DFT calculation (GGA-PBEsol) of an optimized crystal structure of Li2AsPt.

* ΔH_f (0 K): -0.56 eV/atom
* symmetry: Pmmm

POSCAR file:
```
Li2AsPt
1.0
2.768 0.000 0.000
0.000 3.894 0.000
0.000 0.000 5.161
As Pt Li
1 1 2
Direct
0.500 0.500 0.500 As
0.500 0.500 0.000 Pt
0.000 0.000 0.753 Li
0.000 0.000 0.247 Li
```

=====

The following is a DFT calculation (GGA-PBEsol) of an optimized crystal structure of Li2AsPt.

* ΔH_f (0 K): -0.54 eV/atom
* symmetry: Pmm2

POSCAR file:
```
Li2AsPt
1.0
-2.788 0.154 0.108
0.119 -0.852 4.287
0.283 4.582 0.903
As Pt Li
1 1 2
Direct
0.375 0.500 0.751 As
0.375 0.000 0.493 Pt
0.874 0.000 0.980 Li
0.876 0.500 0.277 Li
```

=====

The following is a DFT calculation (GGA-PBEsol) of an optimized crystal structure of LiAsPt.

* ΔH_f (0 K): -0.48 eV/atom
* symmetry: F-43m

POSCAR file:
```
LiAsPt
1.0
-1.463 1.538 -3.517
-1.686 -2.499 -2.791
-4.052 0.103 -0.669
As Pt Li
1 1 1
Direct
0.000 0.000 0.000 As
0.250 0.250 0.250 Pt
0.500 0.500 0.500 Li
```

=====

The following is a DFT calculation (GGA-PBEsol) of an optimized crystal structure of Li2AsPt.

* ΔH_f (0 K): -0.57 eV/atom
* symmetry: P4/mmm

POSCAR file:
```
Li2AsPt
1.0
3.736 0.000 0.000
0.000 3.736 0.000
0.000 0.000 3.930
As Pt Li
1 1 2
Direct
0.000 0.000 0.500 As
0.500 0.500 0.500 Pt
0.000 0.500 0.000 Li
0.500 0.000 0.000 Li
```

=====

The following is a DFT calculation (GGA-PBEsol) of an optimized crystal structure of Li2AsPt.

* ΔH_f (0 K): -0.55 eV/atom
* symmetry: Cmmm

POSCAR file:
```
Li2AsPt
1.0
-2.731 -0.350 0.379
0.708 -0.549 4.595
-0.745 4.447 -1.259
As Pt Li
1 1 2
Direct
0.500 0.500 0.500 As
0.500 0.000 0.000 Pt
0.000 0.500 0.000 Li
0.000 0.000 0.500 Li
```